Entry 1:
Entry from Alexandria: a geometry-optimized TlAgRh2 structure (PBE-GGA).

Cell: 3.014 4.743 9.703 Å, 90.00 90.00 90.00°
Space group Imm2 (No. 44)
One atom of each set of equivalent atoms:
1 Tl 0.000 0.000 0.000 x2
2 Ag 0.000 0.500 0.232 x2
3 Rh 0.000 0.000 0.474 x2
4 Rh 0.000 0.500 0.749 x2

- energy of formation (eV per atom) = 0.26
- distance to the lowest polymorph of the same formula (meV/atom) = 83.0
- total magnetic moment (μB per formula unit) = 0.00

=====

Entry 2:
Entry from Alexandria: a geometry-optimized TlAgRh structure (PBE-GGA).

Cell: 3.140 3.983 8.792 Å, 90.00 90.00 90.00°
Space group Imm2 (No. 44)
One atom of each set of equivalent atoms:
1 Tl 0.000 0.000 0.000 x2
2 Ag 0.000 0.000 0.323 x2
3 Rh 0.000 0.000 0.658 x2

- energy of formation (eV per atom) = 0.21
- distance to the lowest polymorph of the same formula (meV/atom) = 98.8
- total magnetic moment (μB per formula unit) = 0.00

=====

Entry 3:
Entry from Alexandria: a geometry-optimized TlAgRh2 structure (PBE-GGA).

Cell: 4.539 4.539 3.297 Å, 90.00 90.00 90.00°
Space group P4/mmm (No. 123)
One atom of each set of equivalent atoms:
1 Tl 0.000 0.000 0.000 x1
2 Ag 0.500 0.500 0.000 x1
3 Rh 0.000 0.500 0.500 x2

- energy of formation (eV per atom) = 0.20
- distance to the lowest polymorph of the same formula (meV/atom) = 22.9
- total magnetic moment (μB per formula unit) = 0.00

=====

Entry 4:
Entry from Alexandria: a geometry-optimized TlAgRh structure (PBE-GGA).

Cell: 6.363 6.363 6.363 Å, 90.00 90.00 90.00°
Space group F-43m (No. 216)
One atom of each set of equivalent atoms:
1 Tl 0.000 0.000 0.000 x4
2 Ag 0.250 0.250 0.250 x4
3 Rh 0.250 0.250 0.750 x4

- energy of formation (eV per atom) = 0.42
- distance to the lowest polymorph of the same formula (meV/atom) = 304.4
- total magnetic moment (μB per formula unit) = 0.00

=====

Entry 5:
Entry from Alexandria: a geometry-optimized TlAgRh2 structure (PBE-GGA).

Cell: 2.9718 2.9718 28.0585 Å, 90.00 90.00 120.00°
Space group R3m (No. 160, hexagonal axes)
One atom of each set of equivalent atoms:
1 Tl 0.0000 0.0000 0.0000 x3
2 Ag 0.0000 0.0000 0.2382 x3
3 Rh 0.0000 0.0000 0.4895 x3
4 Rh 0.0000 0.0000 0.7514 x3

- energy of formation (eV per atom) = 0.35
- distance to the lowest polymorph of the same formula (meV/atom) = 174.8
- total magnetic moment (μB per formula unit) = 1.18

=====

Entry 6:
Entry from Alexandria: a geometry-optimized TlAg2Rh structure (PBE-GGA).

Cell: 3.0693 3.0693 27.7088 Å, 90.00 90.00 120.00°
Space group R3m (No. 160, hexagonal axes)
One atom of each set of equivalent atoms:
1 Tl 0.0000 0.0000 0.0000 x3
2 Ag 0.0000 0.0000 0.2410 x3
3 Ag 0.0000 0.0000 0.4912 x3
4 Rh 0.0000 0.0000 0.7450 x3

- energy of formation (eV per atom) = 0.26
- distance to the lowest polymorph of the same formula (meV/atom) = 170.5
- total magnetic moment (μB per formula unit) = 0.00

=====

Entry 7:
Entry from Alexandria: a geometry-optimized Tl2AgRh structure (PBE-GGA).

Cell: 4.474 3.487 10.774 Å, 90.00 90.00 90.00°
Space group Amm2 (No. 38)
One atom of each set of equivalent atoms:
1 Tl 0.000 0.000 0.000 x2
2 Tl 0.500 0.000 0.295 x2
3 Ag 0.500 0.000 0.569 x2
4 Rh 0.000 0.000 0.734 x2

- energy of formation (eV per atom) = 0.18
- distance to the lowest polymorph of the same formula (meV/atom) = 63.9
- total magnetic moment (μB per formula unit) = 0.00

=====

Entry 8:
Entry from Alexandria: a geometry-optimized TlAgRh2 structure (PBE-GGA).

Cell: 3.119 4.938 9.097 Å, 90.00 90.00 90.00°
Space group Cmmm (No. 65)
One atom of each set of equivalent atoms:
1 Tl 0.000 0.000 0.000 x2
2 Ag 0.000 0.000 0.500 x2
3 Rh 0.000 0.500 0.247 x4

- energy of formation (eV per atom) = 0.40
- distance to the lowest polymorph of the same formula (meV/atom) = 220.7
- total magnetic moment (μB per formula unit) = 0.00

=====

Entry 9:
Entry from Alexandria: a geometry-optimized TlAgRh2 structure (PBE-GGA).

Cell: 6.475 6.475 6.475 Å, 90.00 90.00 90.00°
Space group Fm-3m (No. 225)
One atom of each set of equivalent atoms:
1 Tl 0.000 0.000 0.000 x4
2 Ag 0.000 0.000 0.500 x4
3 Rh 0.250 0.250 0.250 x8

- energy of formation (eV per atom) = 0.18
- distance to the lowest polymorph of the same formula (meV/atom) = 0.0
- total magnetic moment (μB per formula unit) = 0.00

=====

Entry 10:
Entry from Alexandria: a geometry-optimized TlAg2Rh structure (PBE-GGA).

Cell: 4.026 4.026 8.978 Å, 90.00 90.00 90.00°
Space group I4/mmm (No. 139)
One atom of each set of equivalent atoms:
1 Tl 0.000 0.000 0.000 x2
2 Ag 0.000 0.500 0.250 x4
3 Rh 0.000 0.000 0.500 x2

- energy of formation (eV per atom) = 0.17
- distance to the lowest polymorph of the same formula (meV/atom) = 75.9
- total magnetic moment (μB per formula unit) = 0.00

=====

Entry 11:
Entry from Alexandria: a geometry-optimized Tl2AgRh structure (PBE-GGA).

Cell: 9.258 3.309 5.549 Å, 90.00 102.46 90.00°
Space group C2/m (No. 12)
One atom of each set of equivalent atoms:
1 Tl 0.241 0.000 0.236 x4
2 Ag 0.000 0.000 0.500 x2
3 Rh 0.000 0.500 0.000 x2

- energy of formation (eV per atom) = 0.23
- distance to the lowest polymorph of the same formula (meV/atom) = 117.3
- total magnetic moment (μB per formula unit) = 0.00

=====

Entry 12:
Entry from Alexandria: a geometry-optimized TlAg2Rh structure (PBE-GGA).

Cell: 6.629 6.629 6.629 Å, 90.00 90.00 90.00°
Space group Fm-3m (No. 225)
One atom of each set of equivalent atoms:
1 Tl 0.000 0.000 0.000 x4
2 Ag 0.250 0.250 0.250 x8
3 Rh 0.000 0.000 0.500 x4

- energy of formation (eV per atom) = 0.28
- distance to the lowest polymorph of the same formula (meV/atom) = 194.0
- total magnetic moment (μB per formula unit) = 0.00

=====

Entry 13:
Entry from Alexandria: a geometry-optimized TlAgRh2 structure (PBE-GGA).

Cell: 9.265 2.991 5.035 Å, 90.00 101.74 90.00°
Space group C2/m (No. 12)
One atom of each set of equivalent atoms:
1 Tl 0.000 0.000 0.000 x2
2 Ag 0.000 0.500 0.500 x2
3 Rh 0.248 0.500 0.259 x4

- energy of formation (eV per atom) = 0.23
- distance to the lowest polymorph of the same formula (meV/atom) = 56.0
- total magnetic moment (μB per formula unit) = 0.00

=====

Entry 14:
Entry from Alexandria: a geometry-optimized Tl2AgRh structure (PBE-GGA).

Cell: 3.150 4.548 12.237 Å, 90.00 90.00 90.00°
Space group Imm2 (No. 44)
One atom of each set of equivalent atoms:
1 Tl 0.000 0.000 0.000 x2
2 Tl 0.000 0.500 0.214 x2
3 Ag 0.000 0.500 0.820 x2
4 Rh 0.000 0.000 0.516 x2

- energy of formation (eV per atom) = 0.11
- distance to the lowest polymorph of the same formula (meV/atom) = 0.0
- total magnetic moment (μB per formula unit) = 0.00

=====

Entry 15:
Entry from Alexandria: a geometry-optimized TlAgRh2 structure (PBE-GGA).

Cell: 6.500 6.500 6.500 Å, 90.00 90.00 90.00°
Space group F-43m (No. 216)
One atom of each set of equivalent atoms:
1 Tl 0.000 0.000 0.000 x4
2 Ag 0.250 0.250 0.250 x4
3 Rh 0.000 0.000 0.500 x4
4 Rh 0.250 0.250 0.750 x4

- energy of formation (eV per atom) = 0.29
- distance to the lowest polymorph of the same formula (meV/atom) = 110.8
- total magnetic moment (μB per formula unit) = 1.06

=====

Number 1: final energy -0.347 Ry/atom. Number 2: final energy -0.292 Ry/atom. Number 3: final energy -0.351 Ry/atom. Number 4: final energy -0.277 Ry/atom. Number 5: final energy -0.340 Ry/atom. Number 6: final energy -0.264 Ry/atom. Number 7: final energy -0.261 Ry/atom. Number 8: final energy -0.337 Ry/atom. Number 9: final energy -0.353 Ry/atom. Number 10: final energy -0.271 Ry/atom. Number 11: final energy -0.257 Ry/atom. Number 12: final energy -0.262 Ry/atom. Number 13: final energy -0.349 Ry/atom. Number 14: final energy -0.266 Ry/atom. Number 15: final energy -0.345 Ry/atom.